# 1
Entry from the Alexandria database: a geometry-optimized NiHg2Mo structure (PBE).

Unit cell a=2.9207 b=2.9207 c=8.2243 alpha=90.00 beta=90.00 gamma=90.00
Last column: nearest neighbours and their distance in Å.
Sites, in units of the cell vectors:
Ni1 0.0000 0.0000 0.0000  4 Mo 2.57, 4 Hg 2.81
Hg1 0.0000 0.0000 0.5482  4 Hg 2.92, 4 Mo 3.01
Hg2 0.5000 0.5000 0.2313  4 Ni 2.81, 4 Hg 2.92
Mo1 0.5000 0.5000 0.8147  4 Ni 2.57

ΔH_f (0 K) (eV per atom): 0.280
Excess energy over the best structure of this formula in the dataset (meV/atom): 1
Symmetry: P4mm (99)
Crystal system: tetragonal

# 2
Entry from the Alexandria database: a geometry-optimized CeGa2Hg structure (PBE).

Unit cell a=7.0351 b=7.0351 c=7.0351 alpha=90.00 beta=90.00 gamma=90.00
Last column: nearest neighbours and their distance in Å.
Sites, in units of the cell vectors:
Ce1 0.0000 0.0000 0.0000  8 Ga 3.05
Ce2 0.0000 0.5000 0.5000  8 Ga 3.05
Ce3 0.5000 0.0000 0.5000  8 Ga 3.05
Ce4 0.5000 0.5000 0.0000  8 Ga 3.05
Ga1 0.2500 0.2500 0.2500  4 Hg 3.05, 4 Ce 3.05
Ga2 0.2500 0.2500 0.7500  4 Hg 3.05, 4 Ce 3.05
Ga3 0.2500 0.7500 0.2500  4 Hg 3.05, 4 Ce 3.05
Ga4 0.2500 0.7500 0.7500  4 Hg 3.05, 4 Ce 3.05
Ga5 0.7500 0.2500 0.2500  4 Hg 3.05, 4 Ce 3.05
Ga6 0.7500 0.2500 0.7500  4 Hg 3.05, 4 Ce 3.05
Ga7 0.7500 0.7500 0.2500  4 Hg 3.05, 4 Ce 3.05
Ga8 0.7500 0.7500 0.7500  4 Hg 3.05, 4 Ce 3.05
Hg1 0.0000 0.0000 0.5000  8 Ga 3.05
Hg2 0.0000 0.5000 0.0000  8 Ga 3.05
Hg3 0.5000 0.0000 0.0000  8 Ga 3.05
Hg4 0.5000 0.5000 0.5000  8 Ga 3.05

ΔH_f (0 K) (eV per atom): -0.301
Excess energy over the best structure of this formula in the dataset (meV/atom): 73
Symmetry: Fm-3m (225)
Crystal system: cubic

# 3
Entry from the Alexandria database: a geometry-optimized La2AgRh structure (PBE).

Unit cell a=3.7213 b=3.6995 c=7.4747 alpha=90.00 beta=94.36 gamma=90.00
Last column: nearest neighbours and their distance in Å.
Sites, in units of the cell vectors:
La1 0.0469 0.0000 0.2744  2 Rh 2.95
La2 0.9531 0.0000 0.7256  2 Rh 2.95
Ag1 0.5000 0.5000 0.0000  8 La 3.32-3.34, 2 Ag 3.70
Rh1 0.5000 0.5000 0.5000  4 La 2.95

ΔH_f (0 K) (eV per atom): -0.489
Symmetry: P2/m (10)
Crystal system: monoclinic

# 4
Entry from the Alexandria database: a geometry-optimized Cs6Rb2Pt structure (PBE).

Unit cell a=10.6703 b=10.6703 c=10.6703 alpha=56.71 beta=56.71 gamma=56.71
Last column: nearest neighbours and their distance in Å.
Sites, in units of the cell vectors:
Cs1 0.1812 0.1812 0.6377  1 Pt 3.41
Cs2 0.1812 0.6377 0.1812  1 Pt 3.41
Cs3 0.3425 0.3425 0.7954  1 Pt 3.42
Cs4 0.3425 0.7954 0.3425  1 Pt 3.42
Cs5 0.6377 0.1812 0.1812  1 Pt 3.41
Cs6 0.7954 0.3425 0.3425  1 Pt 3.42
Rb1 0.6718 0.6718 0.6718  1 Rb 4.72, 6 Cs 5.08
Rb2 0.8482 0.8482 0.8482  1 Rb 4.72, 9 Cs 5.11-5.16
Pt1 0.4125 0.4125 0.4125  6 Cs 3.41-3.42

ΔH_f (0 K) (eV per atom): 0.010
Symmetry: R3m (160)
Crystal system: trigonal

# 5
Entry from the Alexandria database: a geometry-optimized LaTmZrN3 structure (PBE).

Unit cell a=5.9642 b=3.4834 c=8.8927 alpha=90.00 beta=102.79 gamma=90.00
Last column: nearest neighbours and their distance in Å.
Sites, in units of the cell vectors:
La1 0.1528 0.2500 0.1955  7 N 2.61-2.79
La2 0.8472 0.7500 0.8045  7 N 2.61-2.79
Tm1 0.2684 0.7500 0.5434  6 N 2.34-2.53
Tm2 0.7316 0.2500 0.4566  6 N 2.34-2.53
Zr1 0.3616 0.2500 0.8560  5 N 2.18-2.34
Zr2 0.6384 0.7500 0.1440  5 N 2.18-2.34
N1 0.0587 0.2500 0.6660  1 Zr 2.18, 1 Tm 2.38
N2 0.2715 0.7500 0.9813  3 Zr 2.20-2.34
N3 0.4613 0.7500 0.3409  1 Zr 2.24, 3 Tm 2.34-2.44
N4 0.5387 0.2500 0.6591  1 Zr 2.24, 3 Tm 2.34-2.44
N5 0.7285 0.2500 0.0187  3 Zr 2.20-2.34
N6 0.9413 0.7500 0.3340  1 Zr 2.18, 1 Tm 2.38

Symmetry: P2_1/m (11)
Formation energy from raw total energies (eV per atom): -1.526
Crystal system: monoclinic

# 6
Entry from the Alexandria database: a geometry-optimized TaAg2Ge2 structure (PBE).

Unit cell a=7.5055 b=7.5055 c=3.1526 alpha=90.00 beta=90.00 gamma=90.00
Last column: nearest neighbours and their distance in Å.
Sites, in units of the cell vectors:
Ta1 0.0000 0.0000 0.0000  4 Ge 2.80
Ta2 0.5000 0.5000 0.0000  4 Ge 2.80
Ag1 0.1358 0.3642 0.5000  6 Ge 2.63-2.77, 1 Ag 2.88
Ag2 0.3642 0.8642 0.5000  6 Ge 2.63-2.77, 1 Ag 2.88
Ag3 0.6358 0.1358 0.5000  6 Ge 2.63-2.77, 1 Ag 2.88
Ag4 0.8642 0.6358 0.5000  6 Ge 2.63-2.77, 1 Ag 2.88
Ge1 0.1657 0.6657 0.0000  6 Ag 2.63-2.77, 2 Ta 2.80
Ge2 0.3343 0.1657 0.0000  6 Ag 2.63-2.77, 2 Ta 2.80
Ge3 0.6657 0.8343 0.0000  6 Ag 2.63-2.77, 2 Ta 2.80
Ge4 0.8343 0.3343 0.0000  6 Ag 2.63-2.77, 2 Ta 2.80

ΔH_f (0 K) (eV per atom): 0.290
Symmetry: P4/mbm (127)
Crystal system: tetragonal

# 7
Entry from the Alexandria database: a geometry-optimized LaNb2Rh structure (PBE).

Unit cell a=6.7053 b=6.7053 c=6.7053 alpha=90.00 beta=90.00 gamma=90.00
Last column: nearest neighbours and their distance in Å.
Sites, in units of the cell vectors:
La1 0.0000 0.0000 0.0000  8 Nb 2.90
La2 0.0000 0.5000 0.5000  8 Nb 2.90
La3 0.5000 0.0000 0.5000  8 Nb 2.90
La4 0.5000 0.5000 0.0000  8 Nb 2.90
Nb1 0.2500 0.2500 0.2500  4 La 2.90, 4 Rh 2.90
Nb2 0.2500 0.2500 0.7500  4 Rh 2.90, 4 La 2.90
Nb3 0.2500 0.7500 0.2500  4 La 2.90, 4 Rh 2.90
Nb4 0.2500 0.7500 0.7500  4 La 2.90, 4 Rh 2.90
Nb5 0.7500 0.2500 0.2500  4 La 2.90, 4 Rh 2.90
Nb6 0.7500 0.2500 0.7500  4 La 2.90, 4 Rh 2.90
Nb7 0.7500 0.7500 0.2500  4 La 2.90, 4 Rh 2.90
Nb8 0.7500 0.7500 0.7500  4 Rh 2.90, 4 La 2.90
Rh1 0.0000 0.0000 0.5000  8 Nb 2.90
Rh2 0.0000 0.5000 0.0000  8 Nb 2.90
Rh3 0.5000 0.0000 0.0000  8 Nb 2.90
Rh4 0.5000 0.5000 0.5000  8 Nb 2.90

ΔH_f (0 K) (eV per atom): 0.147
Excess energy over the best structure of this formula in the dataset (meV/atom): 0
Symmetry: Fm-3m (225)
Crystal system: cubic

# 8
Entry from the Alexandria database: a geometry-optimized SmICl structure (PBE).

Unit cell a=6.8030 b=4.0648 c=8.0262 alpha=90.00 beta=97.62 gamma=90.00
Last column: nearest neighbours and their distance in Å.
Sites, in units of the cell vectors:
Sm1 0.0000 0.0000 0.0000  2 Cl 2.81
Sm2 0.5000 0.5000 0.0000  4 Cl 2.79
I1 0.2058 0.5000 0.2716  3 Sm 3.15-3.17
I2 0.7942 0.5000 0.7284  3 Sm 3.15-3.17
Cl1 0.3098 0.0000 0.8008  3 Sm 2.79-2.81
Cl2 0.6902 0.0000 0.1992  3 Sm 2.79-2.81

Excess energy over the best structure of this formula in the dataset (meV/atom): 0
Symmetry: P2/m (10)
Formation energy from raw total energies (eV per atom): -1.619
Crystal system: monoclinic

# 9
Entry from the Alexandria database: a geometry-optimized KRbNa2Al structure (PBE).

Unit cell a=6.1703 b=6.1703 c=6.8113 alpha=90.00 beta=90.00 gamma=90.00
Last column: nearest neighbours and their distance in Å.
Sites, in units of the cell vectors:
K1 0.0000 0.0000 0.0000  4 Rb 4.36, 8 Na 4.60
Rb1 0.5000 0.5000 0.0000  2 Al 3.41
Na1 0.0000 0.5000 0.5000  2 Al 3.09
Na2 0.5000 0.0000 0.5000  2 Al 3.09
Al1 0.5000 0.5000 0.5000  4 Na 3.09, 2 Rb 3.41

ΔH_f (0 K) (eV per atom): 0.264
Symmetry: P4/mmm (123)
Crystal system: tetragonal

# 10
Entry from the Alexandria database: a geometry-optimized LiPr2Zn structure (PBE).

Unit cell a=7.5167 b=7.5167 c=7.5167 alpha=90.00 beta=90.00 gamma=90.00
Last column: nearest neighbours and their distance in Å.
Sites, in units of the cell vectors:
Li1 0.0000 0.0000 0.0000  8 Pr 3.25
Li2 0.0000 0.5000 0.5000  8 Pr 3.25
Li3 0.5000 0.0000 0.5000  8 Pr 3.25
Li4 0.5000 0.5000 0.0000  8 Pr 3.25
Pr1 0.2500 0.2500 0.2500  4 Li 3.25, 4 Zn 3.25
Pr2 0.2500 0.2500 0.7500  4 Li 3.25, 4 Zn 3.25
Pr3 0.2500 0.7500 0.2500  4 Li 3.25, 4 Zn 3.25
Pr4 0.2500 0.7500 0.7500  4 Li 3.25, 4 Zn 3.25
Pr5 0.7500 0.2500 0.2500  4 Li 3.25, 4 Zn 3.25
Pr6 0.7500 0.2500 0.7500  4 Li 3.25, 4 Zn 3.25
Pr7 0.7500 0.7500 0.2500  4 Li 3.25, 4 Zn 3.25
Pr8 0.7500 0.7500 0.7500  4 Zn 3.25, 4 Li 3.25
Zn1 0.0000 0.0000 0.5000  8 Pr 3.25
Zn2 0.0000 0.5000 0.0000  8 Pr 3.25
Zn3 0.5000 0.0000 0.0000  8 Pr 3.25
Zn4 0.5000 0.5000 0.5000  8 Pr 3.25

ΔH_f (0 K) (eV per atom): -0.104
Excess energy over the best structure of this formula in the dataset (meV/atom): 14
Symmetry: Fm-3m (225)
Crystal system: cubic

# 11
Entry from the Alexandria database: a geometry-optimized Ac2SmIn3Te6 structure (PBE).

Unit cell a=8.1128 b=8.1128 c=8.5470 alpha=99.10 beta=99.10 gamma=119.94
Last column: nearest neighbours and their distance in Å.
Sites, in units of the cell vectors:
Ac1 0.1664 0.8336 0.0000  6 Te 3.33-3.34
Ac2 0.8336 0.1664 0.0000  6 Te 3.33-3.34
Sm1 0.5000 0.5000 0.0000  6 Te 3.18-3.20
In1 0.0000 0.0000 0.5000  6 Te 3.44-3.56
In2 0.3317 0.6683 0.5000  6 Te 3.44-3.56
In3 0.6683 0.3317 0.5000  6 Te 3.44-3.56
Te1 0.1049 0.4238 0.7714  1 Sm 3.18, 2 Ac 3.33, 3 In 3.44-3.56
Te2 0.2585 0.2585 0.2322  1 Sm 3.20, 2 Ac 3.34, 3 In 3.44-3.56
Te3 0.4238 0.1049 0.7714  1 Sm 3.18, 2 Ac 3.33, 3 In 3.44-3.56
Te4 0.5762 0.8951 0.2286  1 Sm 3.18, 2 Ac 3.33, 3 In 3.44-3.56
Te5 0.7415 0.7415 0.7678  1 Sm 3.20, 2 Ac 3.34, 3 In 3.44-3.56
Te6 0.8951 0.5762 0.2286  1 Sm 3.18, 2 Ac 3.33, 3 In 3.44-3.56

Symmetry: C2/m (12)
Formation energy from raw total energies (eV per atom): -1.026
Crystal system: monoclinic

# 12
Entry from the Alexandria database: a geometry-optimized Nb2BSbH structure (PBE).

Unit cell a=4.5683 b=4.5683 c=3.2299 alpha=90.00 beta=90.00 gamma=90.00
Last column: nearest neighbours and their distance in Å.
Sites, in units of the cell vectors:
Nb1 0.0000 0.5000 0.0000  2 H 2.28
Nb2 0.5000 0.0000 0.0000  2 H 2.28
B1 0.0000 0.0000 0.5000  2 H 1.61
Sb1 0.5000 0.5000 0.5000  8 Nb 2.80
H1 0.0000 0.0000 0.0000  2 B 1.61

Excess energy over the best structure of this formula in the dataset (meV/atom): 0
Symmetry: P4/mmm (123)
Crystal system: tetragonal

The evaluated total DFT energy (no corrections) for the records listed, in turn: -4.02 -3.37 -5.50 -1.44 -8.68 -5.07 -7.96 -4.32 -1.43 -3.29 -4.36 -6.47 eV/atom.